A relaxed structure of CeLuGaRu. Source: Alexandria, functional PBE.

The value obtained for the formation energy is -40.1 kJ/mol of atoms. The calculation puts the uncorrected energy at -6.105 eV/atom. The value obtained for the density of states at the Fermi level is 18.50 states/eV/cell. Its density is 9.5 Mg/m³.

The space group is F-43m (No. 216) and the conventional cell measures 6.967, 6.967 and 6.967 Å, with angles of 90.00, 90.00 and 90.00 degrees. The inequivalent atoms are Ce at (0.000, 0.000, 0.000), Lu at (0.000, 0.000, 0.500), Ga at (0.250, 0.250, 0.250) and Ru at (0.250, 0.250, 0.750).

A relaxed structure of CeLuGaSi. Source: Alexandria, functional PBE.

The raw formation energy is -0.482 eV per atom. The calculation puts the uncorrected energy at -5.209 eV/atom. The value obtained for the density of states at the Fermi level is 22.33 states/eV/cell. Its density is 7.7 Mg/m³.

The space group is F-43m (No. 216) and the conventional cell measures 7.076, 7.076 and 7.076 Å, with angles of 90.00, 90.00 and 90.00 degrees. The inequivalent atoms are Ce at (0.000, 0.000, 0.000), Lu at (0.000, 0.000, 0.500), Ga at (0.250, 0.250, 0.250) and Si at (0.250, 0.250, 0.750).

A relaxed structure of CeSmLuGa. Source: Alexandria, functional PBE.

The value obtained for the formation energy is -8.4 kJ/mol of atoms. The calculation puts the uncorrected energy at -4.637 eV/atom. The value obtained for the density of states at the Fermi level is 35.95 states/eV/cell. Its density is 8.3 Mg/m³.

The space group is F-43m (No. 216) and the conventional cell measures 7.527, 7.527 and 7.527 Å, with angles of 90.00, 90.00 and 90.00 degrees. The inequivalent atoms are Ce at (0.000, 0.000, 0.000), Sm at (0.000, 0.000, 0.500), Lu at (0.250, 0.250, 0.250) and Ga at (0.250, 0.250, 0.750).

A relaxed structure of CeLuGaSn. Source: Alexandria, functional PBE.

The value obtained for the formation energy is -47.9 kJ/mol of atoms. The calculation puts the uncorrected energy at -4.868 eV/atom. The value obtained for the density of states at the Fermi level is 27.05 states/eV/cell. Its density is 8.3 Mg/m³.

The space group is F-43m (No. 216) and the conventional cell measures 7.383, 7.383 and 7.383 Å, with angles of 90.00, 90.00 and 90.00 degrees. The inequivalent atoms are Ce at (0.000, 0.000, 0.000), Lu at (0.000, 0.000, 0.500), Ga at (0.250, 0.250, 0.250) and Sn at (0.250, 0.250, 0.750).

A relaxed structure of CeLuGaTc. Source: Alexandria, functional PBE.

The value obtained for the formation energy is -25.4 kJ/mol of atoms. The calculation puts the uncorrected energy at -6.226 eV/atom. The value obtained for the density of states at the Fermi level is 12.08 states/eV/cell. Its density is 9.5 Mg/m³.

The space group is F-43m (No. 216) and the conventional cell measures 6.971, 6.971 and 6.971 Å, with angles of 90.00, 90.00 and 90.00 degrees. The inequivalent atoms are Ce at (0.000, 0.000, 0.000), Lu at (0.000, 0.000, 0.500), Ga at (0.250, 0.250, 0.750) and Tc at (0.250, 0.250, 0.250).

A relaxed structure of CeYLuGa. Source: Alexandria, functional PBE.

The value obtained for the formation energy is -9.5 kJ/mol of atoms. The calculation puts the uncorrected energy at -5.085 eV/atom. The value obtained for the density of states at the Fermi level is 32.58 states/eV/cell. Its density is 7.5 Mg/m³.

The space group is F-43m (No. 216) and the conventional cell measures 7.473, 7.473 and 7.473 Å, with angles of 90.00, 90.00 and 90.00 degrees. The inequivalent atoms are Ce at (0.000, 0.000, 0.000), Y at (0.000, 0.000, 0.500), Lu at (0.250, 0.250, 0.250) and Ga at (0.250, 0.250, 0.750).